KPtPb2: optimized geometry, PBE-GGA.

The structure in POSCAR format:
```
KPtPb2
1.0
3.851 0.000 0.000
0.000 3.861 0.000
0.000 0.000 8.174
K Pt Pb
1 1 2
Direct
0.000 0.000 0.000
0.500 0.500 0.686
0.000 0.000 0.583
0.500 0.500 0.328
```

Output
Final energy = -3.6937 eV per atom
Formation energy from the elements = -0.22 eV per formula unit
DOS at the Fermi energy = 1.2 states/eV/cell

***

KPt2Pb: optimized geometry, PBE-GGA.

The structure in POSCAR format:
```
KPt2Pb
1.0
3.236 -4.309 0.000
3.236 4.309 0.000
-0.017 0.000 3.098
K Pt Pb
1 2 1
Direct
0.000 0.000 0.000
0.000 0.500 0.500
0.500 0.000 0.500
0.500 0.500 0.000
```

Output
Final energy = -4.0204 eV per atom
Formation energy from the elements = 0.81 eV per formula unit
DOS at the Fermi energy = 2.4 states/eV/cell

***

KPt2Pb: optimized geometry, PBE-GGA.

The structure in POSCAR format:
```
KPt2Pb
1.0
3.899 0.000 0.000
0.000 3.899 0.000
0.000 0.000 7.264
K Pt Pb
1 2 1
Direct
0.000 0.000 0.000
0.000 0.500 0.635
0.500 0.000 0.635
0.500 0.500 0.367
```

Output
Final energy = -4.3082 eV per atom
Formation energy from the elements = -0.35 eV per formula unit
DOS at the Fermi energy = 3.2 states/eV/cell

***

KPt2Pb2: optimized geometry, PBE-GGA.

The structure in POSCAR format:
```
KPt2Pb2
1.0
8.693 0.000 0.000
0.000 8.693 0.000
0.000 0.000 3.183
K Pt Pb
2 4 4
Direct
0.000 0.000 0.000
0.500 0.500 0.000
0.160 0.340 0.500
0.340 0.840 0.500
0.660 0.160 0.500
0.840 0.660 0.500
0.136 0.636 0.000
0.364 0.136 0.000
0.636 0.864 0.000
0.864 0.364 0.000
```

Output
Final energy = -4.2035 eV per atom
Formation energy from the elements = -0.42 eV per formula unit
DOS at the Fermi energy = 7.3 states/eV/cell
E above lowest polymorph = 181.9 meV/atom